{
  "formula": "Sc2Be15Cu2",
  "functional": "PBE",
  "state": "relaxed",
  "total_energy_ev_per_atom": -4.2226,
  "crystal_system": "trigonal",
  "sg": "R-3m (166)",
  "dos_at_fermi_per_ev_fu": 7.8,
  "lattice_angstrom": [[-0.137, 0.530, 5.738], [-5.490, -1.601, 0.718], [1.043, -5.532, 1.237]],
  "species": ["Be", "Be", "Be", "Be", "Be", "Be", "Be", "Be", "Be", "Be", "Be", "Be", "Be", "Be", "Be", "Cu", "Cu", "Sc", "Sc"],
  "fractional_positions": [[0.841, 0.343, 0.343], [0.343, 0.841, 0.343], [0.000, 0.000, 0.500], [0.000, 0.500, 0.000], [0.000, 0.710, 0.290], [0.500, 0.000, 0.000], [0.710, 0.000, 0.290], [0.000, 0.290, 0.710], [0.657, 0.159, 0.657], [0.290, 0.710, 0.000], [0.290, 0.000, 0.710], [0.343, 0.343, 0.841], [0.657, 0.657, 0.159], [0.159, 0.657, 0.657], [0.710, 0.290, 0.000], [0.895, 0.895, 0.895], [0.105, 0.105, 0.105], [0.657, 0.657, 0.657], [0.343, 0.343, 0.343]]
}



{
  "formula": "ZrBe2Ru",
  "functional": "PBE",
  "state": "relaxed",
  "crystal_system": "trigonal",
  "relative_energy_ev_per_fu": 2.293,
  "sg": "R-3m (166)",
  "dos_at_fermi_per_ev_fu": 2.6,
  "lattice_angstrom": [[-7.732, 0.446, 2.951], [-6.454, -0.816, 5.136], [-6.384, 2.000, 4.892]],
  "species": ["Be", "Be", "Ru", "Zr"],
  "fractional_positions": [[0.987, 0.987, 0.987], [0.513, 0.513, 0.513], [0.250, 0.250, 0.250], [0.750, 0.750, 0.750]]
}



{
  "formula": "MgCuTe2",
  "functional": "PBE",
  "state": "relaxed",
  "formation_energy_uncorrected_mev_per_atom": -44,
  "crystal_system": "orthorhombic",
  "relative_energy_ev_per_fu": 1.207,
  "sg": "Cmmm (65)",
  "dos_at_fermi_per_ev_fu": 2.2,
  "lattice_angstrom": [[4.355, -0.261, 0.000], [-2.350, 3.676, 0.000], [0.000, 0.000, 7.595]],
  "species": ["Cu", "Mg", "Te", "Te"],
  "fractional_positions": [[0.500, 0.500, 0.250], [0.500, 0.500, 0.750], [0.000, 0.000, 0.021], [0.000, 0.000, 0.479]]
}



{
  "formula": "YTa2Cr2",
  "functional": "PBE",
  "state": "relaxed",
  "crystal_system": "tetragonal",
  "relative_energy_ev_per_fu": 0.000,
  "sg": "P4/mbm (127)",
  "dos_at_fermi_per_ev_fu": 5.7,
  "lattice_angstrom": [[-2.937, 6.071, -4.045], [-1.495, -4.769, -6.072], [-2.700, -0.567, 1.110]],
  "species": ["Cr", "Cr", "Cr", "Cr", "Ta", "Ta", "Ta", "Ta", "Y", "Y"],
  "fractional_positions": [[0.642, 0.858, 0.500], [0.358, 0.142, 0.500], [0.142, 0.642, 0.500], [0.858, 0.358, 0.500], [0.858, 0.642, 0.000], [0.642, 0.142, 0.000], [0.142, 0.358, 0.000], [0.358, 0.858, 0.000], [0.500, 0.500, 0.000], [0.000, 0.000, 0.000]]
}



{
  "formula": "CrGeHPb2",
  "functional": "PBE",
  "state": "relaxed",
  "total_energy_ev_per_atom": -4.4409,
  "crystal_system": "tetragonal",
  "sg": "P4/mmm (123)",
  "dos_at_fermi_per_ev_fu": 2.2,
  "lattice_angstrom": [[-3.754, -2.359, -3.531], [1.177, -3.113, 0.829], [-3.775, -0.305, 4.217]],
  "species": ["Pb", "Pb", "H", "Cr", "Ge"],
  "fractional_positions": [[0.000, 0.000, 0.500], [0.500, 0.000, 0.000], [0.000, 0.500, 0.000], [0.500, 0.500, 0.500], [0.000, 0.000, 0.000]]
}



{
  "formula": "PmTl2InF6",
  "functional": "PBE",
  "state": "relaxed",
  "formation_energy_uncorrected_mev_per_atom": -2639,
  "crystal_system": "trigonal",
  "sg": "R3 (146)",
  "dos_at_fermi_per_ev_fu": 0.0,
  "lattice_angstrom": [[6.858, 0.002, 0.004], [3.431, 5.935, 0.004], [3.432, 1.981, 5.398]],
  "species": ["F", "F", "F", "F", "F", "F", "In", "Tl", "Tl", "Pm"],
  "fractional_positions": [[0.646, 0.143, 0.781], [0.430, 0.646, 0.780], [0.999, 0.565, 0.261], [0.143, 0.431, 0.780], [0.174, 0.999, 0.262], [0.565, 0.175, 0.261], [0.805, 0.805, 0.583], [0.544, 0.544, 0.368], [0.040, 0.041, 0.879], [0.314, 0.313, 0.060]]
}